No. 1
The following is a DFT calculation (PBE) of a relaxed structure of AcLu2Fe.

```
4
Lattice="3.405 0.000 0.000 0.000 3.405 0.000 0.000 0.000 9.157" Properties=species:S:1:pos:R:3 pbc="T T T"
Ac 0.000 0.000 0.000
Lu 1.702 1.702 3.040
Lu 1.702 1.702 6.116
Fe 0.000 0.000 4.578
```

Calculated values
Symmetry: P4/mmm (123)
M_tot: 0.00 μB per formula unit
ρ: 9.9 Mg/m³
E: -21.27 eV per cell



No. 2
The following is a DFT calculation (PBE) of a relaxed structure of Ac4Mg2Fe.

```
7
Lattice="-2.724 2.724 8.785 2.724 -2.724 8.785 2.724 2.724 -8.785" Properties=species:S:1:pos:R:3 pbc="T T T"
Ac 2.724 0.000 0.000
Ac 0.000 0.000 2.946
Ac 0.000 2.724 0.000
Ac 0.000 0.000 14.624
Mg 0.000 0.000 6.410
Mg 0.000 0.000 11.160
Fe 0.000 0.000 0.000
```

Calculated values
Symmetry: I4/mmm (139)
M_tot: 0.16 μB per formula unit
ρ: 6.4 Mg/m³
E: -26.94 eV per cell



No. 3
The following is a DFT calculation (PBE) of a relaxed structure of AcMgFe4.

```
6
Lattice="0.000 3.684 3.684 3.684 0.000 3.684 3.684 3.684 0.000" Properties=species:S:1:pos:R:3 pbc="T T T"
Ac 0.000 0.000 0.000
Mg 1.842 1.842 1.842
Fe 4.589 2.778 2.778
Fe 2.778 4.589 2.778
Fe 2.778 2.778 4.589
Fe 4.589 4.589 4.589
```

Calculated values
Symmetry: F-43m (216)
M_tot: 8.82 μB per formula unit
ρ: 7.9 Mg/m³
E: -38.37 eV per cell



No. 4
The following is a DFT calculation (PBE) of a relaxed structure of AcMgFeSi.

```
8
Lattice="4.115 0.000 0.000 0.000 4.115 0.000 0.000 0.000 11.522" Properties=species:S:1:pos:R:3 pbc="T T T"
Ac 1.029 1.029 2.449
Ac 3.086 3.086 9.072
Mg 1.029 3.086 5.761
Mg 3.086 1.029 5.761
Fe 1.029 3.086 0.000
Fe 3.086 1.029 0.000
Si 1.029 1.029 10.493
Si 3.086 3.086 1.028
```

Calculated values
Formation energy (no corrections): -0.274 eV per atom
Symmetry: P4/nmm (129)
M_tot: 0.00 μB per formula unit
ρ: 5.7 Mg/m³
E: -41.37 eV per cell